(1)
## KZn2Sb2 (PBE)

Data for KZn2Sb2 after structural relaxation.

```
KZn2Sb2
1.0
4.805 0.000 0.000
0.000 4.805 0.000
2.403 2.403 5.753
Sb Zn K
2 2 1
direct
0.750 0.250 0.500
0.250 0.750 0.500
0.608 0.608 0.784
0.392 0.392 0.216
0.000 0.000 0.000
```

Computed properties:
- space-group type = No. 139

(2)
## KZnSb (PBE)

Data for KZnSb after structural relaxation.

```
KZnSb
1.0
6.478 0.101 0.123
3.022 6.554 -0.818
3.398 -3.574 10.479
Sb Zn K
4 4 4
direct
0.551 0.557 0.464
0.638 0.028 0.743
0.818 0.786 0.120
0.046 0.628 0.482
0.800 0.713 0.324
0.695 0.592 0.672
0.846 0.284 0.739
0.300 0.987 0.665
0.558 0.377 0.113
0.304 0.942 0.022
0.163 0.548 0.766
0.131 0.048 0.395
```

Computed properties:
- space-group type = No. 1

(3)
## KZnSb (PBE)

Data for KZnSb after structural relaxation.

```
KZnSb
1.0
4.565 0.000 0.000
-2.282 3.953 0.000
0.000 0.000 5.423
K Zn Sb
1 1 1
direct
0.000 0.000 0.000
0.333 0.667 0.500
0.667 0.333 0.500
```

Computed properties:
- space-group type = No. 187

(4)
## KZn2Sb2 (PBE)

Data for KZn2Sb2 after structural relaxation.

```
KZn2Sb2
1.0
-2.903 -3.957 -0.045
3.923 -2.885 0.605
-1.158 0.725 10.956
Zn Sb K
4 4 2
direct
0.000 0.000 0.500
0.000 0.500 0.130
0.500 0.000 0.870
0.500 0.500 0.500
0.000 0.500 0.374
0.500 0.000 0.626
0.500 0.500 0.000
0.000 0.000 0.000
0.000 0.500 0.745
0.500 0.000 0.255
```

Computed properties:
- space-group type = No. 129

Number 1: E_form (uncorrected) -0.167 eV per atom, calculated volume 132.8 Å³ per cell, uncorrected energy -2.54 eV per atom. Number 2: E_form (uncorrected) -0.177 eV per atom, calculated volume 418.5 Å³ per cell, uncorrected energy -2.34 eV per atom. Number 3: E_form (uncorrected) -0.397 eV per atom, calculated volume 97.8 Å³ per cell, uncorrected energy -2.56 eV per atom. Number 4: E_form (uncorrected) -0.242 eV per atom, calculated volume 265.9 Å³ per cell, uncorrected energy -2.62 eV per atom.